# 1
# PBE Tb7Er4Mg, relaxed
data_Tb7Er4Mg
_cell_length_a 22.142
_cell_length_b 5.558
_cell_length_c 6.333
_cell_angle_alpha 90.00
_cell_angle_beta 102.22
_cell_angle_gamma 90.00
_space_group_name_H-M_alt 'C 1 2/m 1'
_space_group_IT_number 12
loop_
_space_group_symop_operation_xyz
'x,y,z'
'-x,-y,-z'
'-x,y,-z'
'x,-y,z'
'x+1/2,y+1/2,z'
'-x+1/2,-y+1/2,-z'
'-x+1/2,y+1/2,-z'
'x+1/2,-y+1/2,z'
loop_
_atom_site_label
_atom_site_type_symbol
_atom_site_fract_x
_atom_site_fract_y
_atom_site_fract_z
_atom_site_occupancy
Tb1 Tb 0.000 0.000 0.000 1
Tb2 Tb 0.046 0.500 0.301 1
Tb3 Tb 0.135 0.000 0.495 1
Tb4 Tb 0.210 0.000 0.062 1
Er1 Er 0.117 0.500 0.840 1
Er2 Er 0.208 0.500 0.389 1
Mg1 Mg 0.000 0.000 0.500 1
# Total magnetization, μB per formula unit: 0.0
# Calculated volume, A^3/atom: 31.7
# Formation energy, meV/atom: 116
# Relative energy among the computed polymorphs, meV per atom: 96

# 2
# PBE TbEr2Mg4, relaxed
data_TbEr2Mg4
_cell_length_a 5.362
_cell_length_b 5.362
_cell_length_c 14.378
_cell_angle_alpha 90.00
_cell_angle_beta 90.00
_cell_angle_gamma 90.00
_space_group_name_H-M_alt 'I 4/m m m'
_space_group_IT_number 139
_space_group_name_Hall '-I 4 2'
loop_
_atom_site_label
_atom_site_type_symbol
_atom_site_fract_x
_atom_site_fract_y
_atom_site_fract_z
_atom_site_occupancy
Tb1 Tb 0.000 0.000 0.000 1
Er1 Er 0.000 0.000 0.249 1
Mg1 Mg 0.000 0.500 0.118 1
# Total magnetization, μB per formula unit: 0.2
# Calculated volume, A^3/atom: 29.5
# Formation energy, meV/atom: 149
# Relative energy among the computed polymorphs, meV per atom: 0

# 3
# PBE Tb3Er2Mg7, relaxed
data_Tb3Er2Mg7
_cell_length_a 5.130
_cell_length_b 25.771
_cell_length_c 5.148
_cell_angle_alpha 90.00
_cell_angle_beta 90.00
_cell_angle_gamma 90.00
_space_group_name_H-M_alt 'C m m m'
_space_group_IT_number 65
_space_group_name_Hall '-C 2 2'
loop_
_atom_site_label
_atom_site_type_symbol
_atom_site_fract_x
_atom_site_fract_y
_atom_site_fract_z
_atom_site_occupancy
Tb1 Tb 0.000 0.000 0.000 1
Tb2 Tb 0.000 0.159 0.000 1
Er1 Er 0.000 0.356 0.500 1
Mg1 Mg 0.000 0.072 0.500 1
Mg2 Mg 0.000 0.230 0.500 1
Mg3 Mg 0.000 0.427 0.000 1
Mg4 Mg 0.000 0.500 0.500 1
# Total magnetization, μB per formula unit: 0.0
# Calculated volume, A^3/atom: 28.4
# Formation energy, meV/atom: 114